Entry 1:
Below is TaIrAu at its PBEsol-relaxed geometry, with properties calculated at the SCAN level.

a = 2.8987 Å, b = 2.8987 Å, c = 11.5065 Å
α = 90.00°, β = 90.00°, γ = 90.00°
Closest atoms and distances in Å follow each position.
Atoms (fractional coordinates):
Ta  0.0000  0.0000  0.0000  4 Ir 2.68, 4 Au 2.87, 4 Ta 2.90
Ta  0.5000  0.5000  0.5000  4 Ir 2.68, 4 Au 2.87, 4 Ta 2.90
Ir  0.0000  0.0000  0.6495  4 Ta 2.68, 4 Au 2.88, 4 Ir 2.90
Ir  0.5000  0.5000  0.1495  4 Ta 2.68, 4 Au 2.88, 4 Ir 2.90
Au  0.0000  0.0000  0.3254  4 Ta 2.87, 4 Ir 2.88, 4 Au 2.90
Au  0.5000  0.5000  0.8254  4 Ta 2.87, 4 Ir 2.88, 4 Au 2.90

Output
- energy above the most stable polymorph in this dataset (meV/atom) = 149.5


Entry 2:
Below is Li2TiFeO4 at its PBEsol-relaxed geometry, with properties calculated at the SCAN level.

a = 5.6840 Å, b = 5.6840 Å, c = 9.8628 Å
α = 105.10°, β = 105.10°, γ = 61.10°
Closest atoms and distances in Å follow each position.
Atoms (fractional coordinates):
Li  0.0000  0.0000  0.0000  6 O 2.02-2.17
Li  0.0000  0.0000  0.5000  6 O 2.02-2.17
Li  0.0000  0.5000  0.5000  6 O 2.00-2.16
Li  0.2300  0.7700  0.7500  6 O 2.00-2.21
Li  0.5000  0.0000  0.0000  6 O 2.00-2.16
Li  0.5000  0.5000  0.0000  4 O 1.91-2.05
Li  0.5000  0.5000  0.5000  4 O 1.91-2.05
Li  0.7700  0.2300  0.2500  6 O 2.00-2.21
Ti  0.2276  0.2957  0.2434  6 O 1.92-2.09
Ti  0.2957  0.2276  0.7434  6 O 1.92-2.09
Ti  0.7043  0.7724  0.2566  6 O 1.92-2.09
Ti  0.7724  0.7043  0.7566  6 O 1.92-2.09
Fe  0.0000  0.5000  0.0000  6 O 1.97-1.98
Fe  0.2549  0.7451  0.2500  6 O 1.96-1.98
Fe  0.5000  0.0000  0.5000  6 O 1.97-1.98
Fe  0.7451  0.2549  0.7500  6 O 1.96-1.98
O  0.1005  0.6400  0.3686  2 Ti 1.93-2.09, 1 Fe 1.98, 2 Li 2.00-2.02
O  0.1056  0.1518  0.8676  2 Fe 1.96-1.97, 3 Li 2.05-2.16, 1 Ti 2.07
O  0.1323  0.6021  0.8677  2 Ti 1.93-2.05, 1 Fe 1.98, 2 Li 2.00-2.05
O  0.1518  0.1056  0.3676  2 Fe 1.96-1.97, 3 Li 2.05-2.16, 1 Ti 2.07
O  0.3600  0.8995  0.1314  2 Ti 1.93-2.09, 1 Fe 1.98, 2 Li 2.00-2.02
O  0.3627  0.3939  0.1190  2 Li 1.91-2.10, 1 Ti 1.92, 2 Fe 1.97-1.98
O  0.3939  0.3627  0.6190  2 Li 1.91-2.10, 1 Ti 1.92, 2 Fe 1.97-1.98
O  0.3979  0.8677  0.6323  2 Ti 1.93-2.05, 1 Fe 1.98, 2 Li 2.00-2.05
O  0.6021  0.1323  0.3677  2 Ti 1.93-2.05, 1 Fe 1.98, 2 Li 2.00-2.05
O  0.6061  0.6373  0.3810  2 Li 1.91-2.10, 1 Ti 1.92, 2 Fe 1.97-1.98
O  0.6373  0.6061  0.8810  2 Li 1.91-2.10, 1 Ti 1.92, 2 Fe 1.97-1.98
O  0.6400  0.1005  0.8686  2 Ti 1.93-2.09, 1 Fe 1.98, 2 Li 2.00-2.02
O  0.8482  0.8944  0.6324  2 Fe 1.96-1.97, 3 Li 2.05-2.16, 1 Ti 2.07
O  0.8677  0.3979  0.1323  2 Ti 1.93-2.05, 1 Fe 1.98, 2 Li 2.00-2.05
O  0.8944  0.8482  0.1324  2 Fe 1.96-1.97, 3 Li 2.05-2.16, 1 Ti 2.07
O  0.8995  0.3600  0.6314  2 Ti 1.93-2.09, 1 Fe 1.98, 2 Li 2.00-2.02

Output
- formation energy from raw total energies (kJ/mol of formula units) = -1884
- energy above the most stable polymorph in this dataset (meV/atom) = 13.3


Entry 3:
Below is ZrCd2Si at its PBEsol-relaxed geometry, with properties calculated at the SCAN level.

a = 3.9833 Å, b = 4.2902 Å, c = 8.9962 Å
α = 90.00°, β = 90.00°, γ = 90.00°
Closest atoms and distances in Å follow each position.
Atoms (fractional coordinates):
Zr  0.0000  0.0000  0.0000  2 Si 2.85, 8 Cd 2.95-3.08
Zr  0.5000  0.5000  0.5000  2 Si 2.85, 8 Cd 2.95-3.08
Cd  0.0000  0.0000  0.4636  4 Si 2.92-3.20, 4 Zr 2.95, 4 Cd 2.95-3.18
Cd  0.0000  0.5000  0.2385  4 Si 2.93, 4 Cd 2.95-3.18, 4 Zr 3.03-3.08
Cd  0.5000  0.0000  0.7385  4 Si 2.93, 4 Cd 2.95-3.18, 4 Zr 3.03-3.08
Cd  0.5000  0.5000  0.9636  4 Si 2.92-3.20, 4 Zr 2.95, 4 Cd 2.95-3.18
Si  0.0000  0.5000  0.7269  2 Zr 2.85, 6 Cd 2.92-2.93
Si  0.5000  0.0000  0.2269  2 Zr 2.85, 6 Cd 2.92-2.93

Output
- formation energy from raw total energies (kJ/mol of formula units) = 4


Entry 4:
Below is BRuRh3 at its PBEsol-relaxed geometry, with properties calculated at the SCAN level.

a = 4.5526 Å, b = 4.5526 Å, c = 4.5526 Å
α = 90.00°, β = 90.00°, γ = 90.00°
Closest atoms and distances in Å follow each position.
Atoms (fractional coordinates):
B  0.0000  0.0000  0.0000  12 Rh 3.22
Ru  0.5000  0.5000  0.5000  6 Rh 2.28
Rh  0.0000  0.5000  0.5000  2 Ru 2.28
Rh  0.5000  0.0000  0.5000  2 Ru 2.28
Rh  0.5000  0.5000  0.0000  2 Ru 2.28

Output
- uncorrected energy (eV for the cell shown) = -132.4


Entry 5:
Below is YZr2Re at its PBEsol-relaxed geometry, with properties calculated at the SCAN level.

a = 3.3007 Å, b = 3.3007 Å, c = 7.9989 Å
α = 90.00°, β = 90.00°, γ = 90.00°
Closest atoms and distances in Å follow each position.
Atoms (fractional coordinates):
Y  0.0000  0.0000  0.0000  4 Y 3.30, 8 Zr 3.38
Zr  0.5000  0.5000  0.3063  4 Re 2.80, 1 Zr 3.10
Zr  0.5000  0.5000  0.6937  4 Re 2.80, 1 Zr 3.10
Re  0.0000  0.0000  0.5000  8 Zr 2.80

Output
- energy above the most stable polymorph in this dataset (meV/atom) = 0.0


Entry 6:
Below is BaMgCu2 at its PBEsol-relaxed geometry, with properties calculated at the SCAN level.

a = 3.3783 Å, b = 3.6109 Å, c = 6.9801 Å
α = 90.00°, β = 90.00°, γ = 90.00°
Closest atoms and distances in Å follow each position.
Atoms (fractional coordinates):
Ba  0.0000  0.0000  0.0000  8 Cu 3.36, 4 Ba 3.38-3.61, 2 Mg 3.49
Mg  0.0000  0.0000  0.5000  8 Cu 2.75
Cu  0.5000  0.5000  0.3261  1 Cu 2.43
Cu  0.5000  0.5000  0.6739  1 Cu 2.43

Output
- uncorrected energy (eV for the cell shown) = -74.6


Entry 7:
Below is ZnCdPb2 at its PBEsol-relaxed geometry, with properties calculated at the SCAN level.

a = 4.2162 Å, b = 4.7316 Å, c = 4.8647 Å
α = 90.00°, β = 90.00°, γ = 90.00°
Closest atoms and distances in Å follow each position.
Atoms (fractional coordinates):
Zn  0.0000  0.0000  0.0000  8 Pb 3.17-3.22, 4 Cd 3.39
Cd  0.0000  0.5000  0.5000  8 Pb 3.17-3.22, 4 Zn 3.39
Pb  0.5000  0.0000  0.5000  4 Cd 3.17, 4 Zn 3.22, 4 Pb 3.39
Pb  0.5000  0.5000  0.0000  4 Zn 3.17, 4 Cd 3.22, 4 Pb 3.39

Output
- energy above the most stable polymorph in this dataset (meV/atom) = 70.4


Entry 8:
Below is TlAu2 at its PBEsol-relaxed geometry, with properties calculated at the SCAN level.

a = 3.3085 Å, b = 17.7408 Å, c = 4.3428 Å
α = 90.00°, β = 90.00°, γ = 90.00°
Closest atoms and distances in Å follow each position.
Atoms (fractional coordinates):
Tl  0.0000  0.1971  0.2500  4 Au 3.00-3.02, 6 Tl 3.31
Tl  0.0000  0.8029  0.7500  4 Au 3.00-3.02, 6 Tl 3.31
Tl  0.5000  0.3029  0.7500  4 Au 3.00-3.02, 6 Tl 3.31
Tl  0.5000  0.6971  0.2500  4 Au 3.00-3.02, 6 Tl 3.31
Au  0.0000  0.0804  0.7500  6 Au 2.77-2.91, 2 Tl 3.00
Au  0.0000  0.4452  0.7500  8 Au 2.77-2.91, 2 Tl 3.02
Au  0.0000  0.5548  0.2500  8 Au 2.77-2.91, 2 Tl 3.02
Au  0.0000  0.9196  0.2500  6 Au 2.77-2.91, 2 Tl 3.00
Au  0.5000  0.0548  0.2500  8 Au 2.77-2.91, 2 Tl 3.02
Au  0.5000  0.4196  0.2500  6 Au 2.77-2.91, 2 Tl 3.00
Au  0.5000  0.5804  0.7500  6 Au 2.77-2.91, 2 Tl 3.00
Au  0.5000  0.9452  0.7500  8 Au 2.77-2.91, 2 Tl 3.02

Output
- energy above the most stable polymorph in this dataset (meV/atom) = 17.3


Entry 9:
Below is CaCo2Br at its PBEsol-relaxed geometry, with properties calculated at the SCAN level.

a = 6.3035 Å, b = 6.3035 Å, c = 6.3035 Å
α = 90.00°, β = 90.00°, γ = 90.00°
Closest atoms and distances in Å follow each position.
Atoms (fractional coordinates):
Ca  0.0000  0.0000  0.0000  8 Co 2.73
Ca  0.0000  0.5000  0.5000  8 Co 2.73
Ca  0.5000  0.0000  0.5000  8 Co 2.73
Ca  0.5000  0.5000  0.0000  8 Co 2.73
Co  0.2500  0.2500  0.2500  4 Br 2.73, 4 Ca 2.73
Co  0.2500  0.2500  0.7500  4 Br 2.73, 4 Ca 2.73
Co  0.2500  0.7500  0.2500  4 Br 2.73, 4 Ca 2.73
Co  0.2500  0.7500  0.7500  4 Br 2.73, 4 Ca 2.73
Co  0.7500  0.2500  0.2500  4 Br 2.73, 4 Ca 2.73
Co  0.7500  0.2500  0.7500  4 Br 2.73, 4 Ca 2.73
Co  0.7500  0.7500  0.2500  4 Br 2.73, 4 Ca 2.73
Co  0.7500  0.7500  0.7500  4 Br 2.73, 4 Ca 2.73
Br  0.0000  0.0000  0.5000  8 Co 2.73
Br  0.0000  0.5000  0.0000  8 Co 2.73
Br  0.5000  0.0000  0.0000  8 Co 2.73
Br  0.5000  0.5000  0.5000  8 Co 2.73

Output
- formation energy from raw total energies (kJ/mol of formula units) = 304
- energy above the most stable polymorph in this dataset (meV/atom) = 941.0


Entry 10:
Below is KMo3O9 at its PBEsol-relaxed geometry, with properties calculated at the SCAN level.

a = 8.2762 Å, b = 8.2762 Å, c = 6.3571 Å
α = 92.31°, β = 92.31°, γ = 55.18°
Closest atoms and distances in Å follow each position.
Atoms (fractional coordinates):
K  0.1940  0.1940  0.3375  4 O 2.62-2.86
K  0.8060  0.8060  0.6625  4 O 2.62-2.86
Mo  0.1809  0.7014  0.2322  3 O 1.68-1.87
Mo  0.2986  0.8191  0.7678  3 O 1.68-1.87
Mo  0.3797  0.3797  0.8615  2 O 1.70
Mo  0.6203  0.6203  0.1385  2 O 1.70
Mo  0.7014  0.1809  0.2322  3 O 1.68-1.87
Mo  0.8191  0.2986  0.7678  3 O 1.68-1.87
O  0.0392  0.0392  0.7943  2 Mo 1.87
O  0.0704  0.5927  0.2985  1 Mo 1.68
O  0.1799  0.6569  0.9109  2 Mo 1.94-2.06
O  0.2411  0.7589  0.5000  2 Mo 1.87
O  0.2790  0.2790  0.9832  1 Mo 1.70
O  0.3431  0.8201  0.0891  2 Mo 1.94-2.06
O  0.3509  0.3509  0.5998  1 Mo 1.70
O  0.4073  0.9296  0.7015  1 Mo 1.68
O  0.4614  0.4614  0.1918  2 Mo 2.04
O  0.5386  0.5386  0.8082  2 Mo 2.04
O  0.5927  0.0704  0.2985  1 Mo 1.68
O  0.6491  0.6491  0.4002  1 Mo 1.70
O  0.6569  0.1799  0.9109  2 Mo 1.94-2.06
O  0.7210  0.7210  0.0168  1 Mo 1.70
O  0.7589  0.2411  0.5000  2 Mo 1.87
O  0.8201  0.3431  0.0891  2 Mo 1.94-2.06
O  0.9296  0.4073  0.7015  1 Mo 1.68
O  0.9608  0.9608  0.2057  2 Mo 1.87

Output
- formation energy from raw total energies (kJ/mol of formula units) = -2722


Entry 11:
Below is In2Ni3Se2 at its PBEsol-relaxed geometry, with properties calculated at the SCAN level.

a = 5.6125 Å, b = 5.6125 Å, c = 5.6125 Å
α = 56.84°, β = 56.84°, γ = 56.84°
Closest atoms and distances in Å follow each position.
Atoms (fractional coordinates):
In  0.0000  0.0000  0.0000  6 Ni 2.67
In  0.5000  0.5000  0.5000  6 Ni 2.81
Ni  0.0000  0.5000  0.5000  2 Se 2.27
Ni  0.5000  0.0000  0.5000  2 Se 2.27
Ni  0.5000  0.5000  0.0000  2 Se 2.27
Se  0.2149  0.2149  0.2149  3 Ni 2.27
Se  0.7851  0.7851  0.7851  3 Ni 2.27

Output
- formation energy from raw total energies (kJ/mol of formula units) = -215


Entry 12:
Below is Li2CdCo at its PBEsol-relaxed geometry, with properties calculated at the SCAN level.

a = 2.6999 Å, b = 4.4839 Å, c = 4.8227 Å
α = 90.00°, β = 90.00°, γ = 90.00°
Closest atoms and distances in Å follow each position.
Atoms (fractional coordinates):
Li  0.0000  0.0000  0.0000  4 Cd 2.66-2.86, 6 Li 2.70-2.74, 2 Co 2.76
Li  0.5000  0.5000  0.1673  6 Li 2.70-2.74, 4 Co 2.76, 2 Cd 2.82
Cd  0.5000  0.0000  0.5237  6 Li 2.66-2.86, 2 Cd 2.70, 4 Co 2.71
Co  0.0000  0.5000  0.6669  2 Co 2.70, 4 Cd 2.71, 6 Li 2.76

Output
- uncorrected energy (eV for the cell shown) = -52.2


Entry 13:
Below is Ca3Mg5 at its PBEsol-relaxed geometry, with properties calculated at the SCAN level.

a = 8.7997 Å, b = 10.2856 Å, c = 5.0020 Å
α = 90.00°, β = 90.00°, γ = 90.00°
Closest atoms and distances in Å follow each position.
Atoms (fractional coordinates):
Ca  0.0000  0.0000  0.0000  8 Mg 3.37-3.38, 4 Ca 3.65
Ca  0.0000  0.2587  0.5000  10 Mg 3.28-3.52, 2 Ca 3.65
Ca  0.0000  0.7413  0.5000  10 Mg 3.28-3.52, 2 Ca 3.65
Ca  0.5000  0.2413  0.5000  10 Mg 3.28-3.52, 2 Ca 3.65
Ca  0.5000  0.5000  0.0000  8 Mg 3.37-3.38, 4 Ca 3.65
Ca  0.5000  0.7587  0.5000  10 Mg 3.28-3.52, 2 Ca 3.65
Mg  0.0000  0.5000  0.0000  8 Mg 3.30-3.38, 4 Ca 3.52
Mg  0.2440  0.5000  0.5000  6 Ca 3.28-3.49, 6 Mg 3.30-3.59
Mg  0.2500  0.2500  0.0000  6 Ca 3.33-3.38, 6 Mg 3.38-3.59
Mg  0.2500  0.7500  0.0000  6 Ca 3.33-3.38, 6 Mg 3.38-3.59
Mg  0.2560  0.0000  0.5000  6 Ca 3.28-3.49, 6 Mg 3.30-3.59
Mg  0.5000  0.0000  0.0000  8 Mg 3.30-3.38, 4 Ca 3.52
Mg  0.7440  0.0000  0.5000  6 Ca 3.28-3.49, 6 Mg 3.30-3.59
Mg  0.7500  0.2500  0.0000  6 Ca 3.33-3.38, 6 Mg 3.38-3.59
Mg  0.7500  0.7500  0.0000  6 Ca 3.33-3.38, 6 Mg 3.38-3.59
Mg  0.7560  0.5000  0.5000  6 Ca 3.28-3.49, 6 Mg 3.30-3.59

Output
- uncorrected energy (eV for the cell shown) = -108.1